# 1
SrGaOs3 at its PBEsol-relaxed geometry, computed with SCAN.

Summary:
The total DFT energy (no corrections) comes out at -47.033 eV/atom. For the volume, the calculation gives 112.81 Å³ per cell. The formation enthalpy at 0 K comes out at 3.820 eV per atom.

POSCAR file:
```
SrGaOs3
1.0
-2.431 2.710 -3.178
-1.674 -4.000 -2.131
-3.826 0.029 2.951
Os Sr Ga
3 1 1
Cartesian
-0.837 -2.000 -1.065
-1.913 0.015 1.476
-1.215 1.355 -1.589
0.000 0.000 0.000
-3.965 -0.631 -1.179
```

# 2
LiHoS2 at its PBEsol-relaxed geometry, computed with SCAN.

Summary:
The total DFT energy (no corrections) comes out at -19.681 eV/atom. For the volume, the calculation gives 77.42 Å³ per cell. The value obtained for the uncorrected formation energy is -2023 meV/atom.

POSCAR file:
```
LiHoS2
1.0
3.842 0.000 0.000
0.000 3.842 0.000
0.000 0.000 5.246
Li S Ho
1 2 1
Cartesian
1.921 1.921 2.623
0.000 0.000 2.623
1.921 1.921 0.000
0.000 0.000 0.000
```

# 3
Co2CuNi at its PBEsol-relaxed geometry, computed with SCAN.

Summary:
The total DFT energy (no corrections) comes out at -16.396 eV/atom. For the volume, the calculation gives 42.30 Å³ per cell. The relative energy among the computed polymorphs comes out at 45 meV per atom. The formation enthalpy at 0 K comes out at 0.099 eV per atom.

POSCAR file:
```
Co2CuNi
1.0
2.448 0.000 0.000
-1.224 4.076 -0.004
0.000 -0.721 4.240
Cu Co Ni
1 2 1
Cartesian
0.000 3.716 2.095
0.000 1.510 3.224
0.000 -0.710 4.208
1.224 1.835 1.063
```

# 4
LaZrRh2 at its PBEsol-relaxed geometry, computed with SCAN.

Summary:
The total DFT energy (no corrections) comes out at -36.152 eV/atom. For the volume, the calculation gives 77.67 Å³ per cell. The formation enthalpy at 0 K comes out at -0.816 eV per atom.

POSCAR file:
```
LaZrRh2
1.0
-0.123 -2.423 -2.228
3.123 0.619 -0.846
2.263 -4.662 4.939
Rh La Zr
2 1 1
Cartesian
0.346 -3.389 -1.203
1.794 -3.696 3.914
2.631 -3.233 0.932
1.500 -0.902 -1.537
```